Compound: HoSbSe
Source: Alexandria
Functional: PBE
Structure: relaxed

Output
The total magnetic moment is 0.0 μB per formula unit. Its crystal system is tetragonal. The energy is -0.392 Ry/atom.

Geometry as extended XYZ:
```
6
Lattice="4.137 0.000 0.000 0.000 4.137 0.000 -2.069 -2.069 8.923" Properties=species:S:1:pos:R:3 pbc="T T T"
Ho 0.000 0.000 6.256
Ho 2.069 2.069 2.667
Sb 0.000 2.069 0.000
Sb 2.069 0.000 0.000
Se 0.000 0.000 3.350
Se 2.069 2.069 5.573
```

***

Compound: Sr4Rh2C
Source: Alexandria
Functional: PBE
Structure: relaxed

Output
The total magnetic moment is 0.9 μB per formula unit. The formation energy comes out at 0.322 eV/atom. Its crystal system is tetragonal.

Geometry as extended XYZ:
```
7
Lattice="-1.404 3.784 -3.800 1.142 -3.627 -4.033 -6.463 -2.103 -3.749" Properties=species:S:1:pos:R:3 pbc="T T T"
Sr -2.706 -0.685 -7.768
Sr -4.018 -1.261 -3.814
Sr 0.571 -1.813 -2.017
Sr -0.702 1.892 -1.900
C 0.000 0.000 0.000
Rh -5.339 -1.592 -7.699
Rh -1.385 -0.353 -3.883
```

***

Compound: ZnPtS2
Source: Alexandria
Functional: PBE
Structure: relaxed

Output
The total magnetic moment is 0.0 μB per formula unit. Its crystal system is tetragonal. The energy is -0.306 Ry/atom.

Geometry as extended XYZ:
```
8
Lattice="-4.799 -2.394 0.754 1.708 -4.307 -2.804 0.317 -5.627 3.605" Properties=species:S:1:pos:R:3 pbc="T T T"
Zn -1.546 -3.350 -1.025
Zn 0.239 -6.642 -0.112
S -2.719 -3.447 1.024
S 0.559 -4.392 -0.759
S -0.926 -6.722 1.942
S -2.463 -10.094 0.903
Pt 0.000 0.000 0.000
Pt -3.014 -5.685 1.667
```

***

Compound: BaP4Ru
Source: Alexandria
Functional: PBE
Structure: relaxed

Output
The total magnetic moment is 1.6 μB per formula unit. The formation energy comes out at 0.446 eV/atom. Its crystal system is cubic.

Geometry as extended XYZ:
```
6
Lattice="0.000 3.922 3.922 3.922 0.000 3.922 3.922 3.922 0.000" Properties=species:S:1:pos:R:3 pbc="T T T"
Ba 0.000 0.000 0.000
P 3.103 4.742 4.742
P 4.742 4.742 3.103
P 4.742 3.103 4.742
P 3.103 3.103 3.103
Ru 5.884 5.884 5.884
```